## SbIrWI2 (PBE)

Data for an optimized crystal structure of SbIrWI2.

Cell: 5.265 5.265 5.351 Å, 90.00 90.00 90.00°
Atoms (fractional coordinates):
Sb (0.000, 0.000, 0.000)
Ir (0.500, 0.500, 0.000)
W (0.000, 0.000, 0.500)
I (0.000, 0.500, 0.500)
I (0.500, 0.000, 0.500)

Values from the calculation:
**DOS at the Fermi energy**: 8.38 states/eV/f.u.
**Symmetry**: No. 123
**Relative energy among the computed polymorphs**: 121 meV per atom
**Energy relative to the elements, uncorrected**: 1.678 eV/atom

## Sb2IrWI (PBE)

Data for an optimized crystal structure of Sb2IrWI.

Cell: 5.220 5.220 5.203 Å, 90.00 90.00 90.00°
Atoms (fractional coordinates):
Sb (0.000, 0.500, 0.000)
Sb (0.500, 0.000, 0.000)
Ir (0.000, 0.000, 0.500)
W (0.500, 0.500, 0.000)
I (0.500, 0.500, 0.500)

Values from the calculation:
**DOS at the Fermi energy**: 6.80 states/eV/f.u.
**Symmetry**: No. 123
**Relative energy among the computed polymorphs**: 60 meV per atom
**Energy relative to the elements, uncorrected**: 1.539 eV/atom

Question: The highest DOS at the Fermi energy belongs to which entry?
Answer: SbIrWI2

Question: Among the records above, which one has the highest DOS at the Fermi energy?
Answer: SbIrWI2